# Mg2MnWO6 | the Alexandria database | GGA+U | optimized geometry
data_Mg2MnWO6
_chemical_formula_sum 'Mg4 Mn2 W2 O12'
_space_group_name_H-M_alt 'P 1 21/c 1'
_space_group_IT_number 14
_space_group_name_Hall '-P 2ybc'
_cell_length_a 5.265
_cell_length_b 5.392
_cell_length_c 9.480
_cell_angle_alpha 90.00
_cell_angle_beta 123.72
_cell_angle_gamma 90.00
loop_
_atom_site_label
_atom_site_fract_x
_atom_site_fract_y
_atom_site_fract_z
Mg1 0.230 0.037 0.226
Mn1 0.000 0.000 0.500
W1 0.500 0.000 0.000
O1 0.137 0.167 0.956
O2 0.249 0.702 0.903
O3 0.404 0.102 0.775
# - Density of states at the Fermi level: 0.00 states/eV/f.u.
# - Size of the total moment: 5.0 μB/f.u.
# - Total DFT energy (no corrections): -139.7 eV per cell